Material: KAl3Se
Method: DFT, PBE
State: optimized geometry

Geometry as CIF:
```
data_KAl3Se
_chemical_formula_sum 'K1 Al3 Se1'
_space_group_name_H-M_alt 'P 1'
_space_group_IT_number 1
_cell_length_a 5.807
_cell_length_b 5.807
_cell_length_c 5.807
_cell_angle_alpha 90.00
_cell_angle_beta 90.00
_cell_angle_gamma 90.00
loop_
_space_group_symop_operation_xyz
'x,y,z'
loop_
_atom_site_label
_atom_site_type_symbol
_atom_site_fract_x
_atom_site_fract_y
_atom_site_fract_z
Al1 Al 0.000 0.000 0.500
Al2 Al 0.500 0.000 0.000
Al3 Al 0.000 0.500 0.000
Se1 Se 0.500 0.500 0.500
K1 K 0.000 0.000 0.000
```

Calculated values
Energy relative to the elements, uncorrected   1.4453 eV per atom

Material: LaAsAu
Method: DFT, PBE
State: optimized geometry

Geometry as CIF:
```
data_LaAsAu
_chemical_formula_sum 'La1 As1 Au1'
_space_group_name_H-M_alt 'P 1'
_space_group_IT_number 1
_cell_length_a 4.849
_cell_length_b 4.849
_cell_length_c 4.849
_cell_angle_alpha 60.00
_cell_angle_beta 60.00
_cell_angle_gamma 60.00
loop_
_space_group_symop_operation_xyz
'x,y,z'
loop_
_atom_site_label
_atom_site_type_symbol
_atom_site_fract_x
_atom_site_fract_y
_atom_site_fract_z
As1 As 0.500 0.500 0.500
La1 La 0.000 0.000 0.000
Au1 Au 0.750 0.750 0.750
```

Calculated values
Formation enthalpy at 0 K   -2.311 eV/f.u.

Repeat the second record exactly.
Material: LaAsAu
Method: DFT, PBE
State: optimized geometry

Geometry as CIF:
```
data_LaAsAu
_chemical_formula_sum 'La1 As1 Au1'
_space_group_name_H-M_alt 'P 1'
_space_group_IT_number 1
_cell_length_a 4.849
_cell_length_b 4.849
_cell_length_c 4.849
_cell_angle_alpha 60.00
_cell_angle_beta 60.00
_cell_angle_gamma 60.00
loop_
_space_group_symop_operation_xyz
'x,y,z'
loop_
_atom_site_label
_atom_site_type_symbol
_atom_site_fract_x
_atom_site_fract_y
_atom_site_fract_z
As1 As 0.500 0.500 0.500
La1 La 0.000 0.000 0.000
Au1 Au 0.750 0.750 0.750
```

Calculated values
Formation enthalpy at 0 K   -2.311 eV/f.u.